No. 1
VASP calculation (PBE) on a relaxed Sm2Y4Tl3H2 crystal.

Values from the calculation:
Electronic total energy in eV/cell: -52.6

a b c (Å): 4.7908 4.7908 12.7694
angles (deg): 100.81 100.81 90.00
Sites, in units of the cell vectors:
Sm1 0.3027 0.3027 0.6053
Sm2 0.6973 0.6973 0.3947
Y1 0.4170 0.9170 0.8340
Y2 0.9170 0.4170 0.8340
Y3 0.0830 0.5830 0.1660
Y4 0.5830 0.0830 0.1660
Tl1 0.0000 0.0000 0.0000
Tl2 0.1720 0.1720 0.3440
Tl3 0.8280 0.8280 0.6560
H1 0.4003 0.4003 0.8005
H2 0.5997 0.5997 0.1995


No. 2
VASP calculation (PBE) on a relaxed Sm4Y2Tl3H2 crystal.

Values from the calculation:
Electronic total energy in eV/cell: -48.7

a b c (Å): 4.7989 4.7989 12.9588
angles (deg): 100.67 100.67 90.00
Sites, in units of the cell vectors:
Sm1 0.4141 0.9141 0.8283
Sm2 0.9141 0.4141 0.8283
Sm3 0.0859 0.5859 0.1717
Sm4 0.5859 0.0859 0.1717
Y1 0.3005 0.3005 0.6010
Y2 0.6995 0.6995 0.3990
Tl1 0.0000 0.0000 0.0000
Tl2 0.1756 0.1756 0.3513
Tl3 0.8244 0.8244 0.6487
H1 0.3939 0.3939 0.7879
H2 0.6061 0.6061 0.2121


No. 3
VASP calculation (PBE) on a relaxed SmTmH crystal.

Values from the calculation:
Electronic total energy in eV/cell: -12.9

a b c (Å): 3.3867 3.3867 6.4830
angles (deg): 105.14 105.14 90.00
Sites, in units of the cell vectors:
H1 0.2183 0.2183 0.4365
Tm1 0.0362 0.0362 0.0724
Sm1 0.7456 0.7456 0.4911


No. 4
VASP calculation (PBE) on a relaxed SmTm3H crystal.

Values from the calculation:
Electronic total energy in eV/cell: -22.3

a b c (Å): 4.9476 4.9476 4.9476
angles (deg): 90.00 90.00 90.00
Sites, in units of the cell vectors:
H1 0.0000 0.0000 0.0000
Tm1 0.0000 0.5000 0.0000
Tm2 0.0000 0.0000 0.5000
Tm3 0.5000 0.0000 0.0000
Sm1 0.5000 0.5000 0.5000


No. 5
VASP calculation (PBE) on a relaxed SmTmH crystal.

Values from the calculation:
Electronic total energy in eV/cell: -13.2

a b c (Å): 3.6245 3.6245 5.6353
angles (deg): 90.00 90.00 120.00
Sites, in units of the cell vectors:
H1 0.6667 0.3333 0.3421
Tm1 0.3333 0.6667 0.5728
Sm1 0.0000 0.0000 0.0851


No. 6
VASP calculation (PBE) on a relaxed SmTmH2 crystal.

Values from the calculation:
Electronic total energy in eV/cell: -17.3

a b c (Å): 3.4987 3.4987 6.0262
angles (deg): 73.12 73.12 60.00
Sites, in units of the cell vectors:
H1 0.7557 0.7557 0.7330
H2 0.2443 0.2443 0.2670
Tm1 0.5000 0.5000 0.5000
Sm1 0.0000 0.0000 0.0000


No. 7
VASP calculation (PBE) on a relaxed SmTmH crystal.

Values from the calculation:
Electronic total energy in eV/cell: -51.7

a b c (Å): 6.4093 6.4093 6.4093
angles (deg): 90.00 90.00 90.00
Sites, in units of the cell vectors:
H1 0.3393 0.3393 0.3393
H2 0.1607 0.6607 0.8393
H3 0.8393 0.1607 0.6607
H4 0.6607 0.8393 0.1607
Tm1 0.1470 0.1470 0.1470
Tm2 0.6470 0.3530 0.8530
Tm3 0.3530 0.8530 0.6470
Tm4 0.8530 0.6470 0.3530
Sm1 0.3458 0.6542 0.1542
Sm2 0.1542 0.3458 0.6542
Sm3 0.6542 0.1542 0.3458
Sm4 0.8458 0.8458 0.8458


No. 8
VASP calculation (PBE) on a relaxed Sm3Tm5H12 crystal.

Values from the calculation:
Electronic total energy in eV/cell: -343.8

a b c (Å): 11.2979 11.2979 11.2979
angles (deg): 109.47 109.47 109.47
Sites, in units of the cell vectors:
Sm1 0.7500 0.3750 0.1250
Sm2 0.8750 0.7500 0.1250
Sm3 0.3750 0.7500 0.6250
Sm4 0.2500 0.1250 0.3750
Sm5 0.8750 0.1250 0.2500
Sm6 0.3750 0.6250 0.2500
Sm7 0.6250 0.3750 0.7500
Sm8 0.1250 0.8750 0.7500
Sm9 0.7500 0.8750 0.6250
Sm10 0.6250 0.2500 0.3750
Sm11 0.1250 0.2500 0.8750
Sm12 0.2500 0.6250 0.8750
Tm1 0.1250 0.3750 0.2500
Tm2 0.0000 0.5000 0.0000
Tm3 0.0000 0.0000 0.0000
Tm4 0.3750 0.2500 0.1250
Tm5 0.5000 0.0000 0.5000
Tm6 0.5000 0.5000 0.0000
Tm7 0.1250 0.7500 0.3750
Tm8 0.7500 0.1250 0.8750
Tm9 0.7500 0.6250 0.3750
Tm10 0.3750 0.1250 0.7500
Tm11 0.6250 0.8750 0.2500
Tm12 0.5000 0.5000 0.5000
Tm13 0.5000 0.0000 0.0000
Tm14 0.0000 0.0000 0.5000
Tm15 0.2500 0.3750 0.6250
Tm16 0.2500 0.8750 0.1250
Tm17 0.0000 0.5000 0.5000
Tm18 0.8750 0.2500 0.6250
Tm19 0.6250 0.7500 0.8750
Tm20 0.8750 0.6250 0.7500
H1 0.7195 0.1464 0.0594
H2 0.3399 0.5594 0.4130
H3 0.9406 0.3536 0.2805
H4 0.5594 0.2195 0.1464
H5 0.5731 0.7195 0.6601
H6 0.9406 0.5870 0.1601
H7 0.3399 0.7805 0.4269
H8 0.0870 0.9269 0.1464
H9 0.5870 0.9406 0.6601
H10 0.7195 0.5731 0.1601
H11 0.7805 0.4406 0.3536
H12 0.8399 0.9130 0.0594
H13 0.1464 0.7195 0.5594
H14 0.3536 0.4130 0.0731
H15 0.0731 0.9130 0.3536
H16 0.4269 0.1464 0.5870
H17 0.0731 0.1601 0.2195
H18 0.4406 0.6601 0.0870
H19 0.8399 0.9269 0.2805
H20 0.1464 0.4269 0.0870
H21 0.3536 0.9406 0.7805
H22 0.5870 0.6464 0.4269
H23 0.9130 0.8399 0.5594
H24 0.7805 0.3399 0.9269
H25 0.4130 0.3536 0.5731
H26 0.0870 0.1601 0.4406
H27 0.2195 0.6601 0.0731
H28 0.1601 0.0731 0.7195
H29 0.6464 0.0594 0.2195
H30 0.8536 0.5731 0.9130
H31 0.5594 0.3399 0.9130
H32 0.5731 0.8536 0.4130
H33 0.9269 0.8399 0.7805
H34 0.9269 0.0870 0.6464
H35 0.8536 0.2805 0.4406
H36 0.1601 0.0870 0.9406
H37 0.6464 0.5870 0.9269
H38 0.4130 0.0594 0.3399
H39 0.2805 0.4269 0.8399
H40 0.2195 0.5594 0.6464
H41 0.9130 0.0731 0.8536
H42 0.6601 0.2195 0.5731
H43 0.4406 0.7805 0.8536
H44 0.0594 0.4130 0.8399
H45 0.4269 0.2805 0.3399
H46 0.0594 0.6464 0.7195
H47 0.6601 0.4406 0.5870
H48 0.2805 0.8536 0.9406


No. 9
VASP calculation (PBE) on a relaxed Sm2TmH crystal.

Values from the calculation:
Electronic total energy in eV/cell: -16.9

a b c (Å): 3.3931 3.3931 8.4913
angles (deg): 90.00 90.00 90.00
Sites, in units of the cell vectors:
H1 0.5000 0.5000 0.0000
Tm1 0.5000 0.5000 0.5000
Sm1 0.0000 0.0000 0.8071
Sm2 0.0000 0.0000 0.1929


No. 10
VASP calculation (PBE) on a relaxed SmTmH4 crystal.

Values from the calculation:
Electronic total energy in eV/cell: -53.4

a b c (Å): 5.2117 5.2117 6.4021
angles (deg): 114.02 114.02 90.00
Sites, in units of the cell vectors:
Sm1 0.2500 0.7500 0.5000
Sm2 0.5000 0.5000 0.0000
Tm1 0.0000 0.0000 0.0000
Tm2 0.7500 0.2500 0.5000
H1 0.1110 0.1250 0.7500
H2 0.8750 0.8890 0.2500
H3 0.1110 0.6250 0.7500
H4 0.3750 0.3610 0.2500
H5 0.6390 0.1250 0.7500
H6 0.6390 0.6250 0.7500
H7 0.3750 0.8890 0.2500
H8 0.8750 0.3610 0.2500


No. 11
VASP calculation (PBE) on a relaxed SmTmH2 crystal.

Values from the calculation:
Electronic total energy in eV/cell: -17.0

a b c (Å): 3.4958 3.4958 6.2448
angles (deg): 73.75 73.75 60.00
Sites, in units of the cell vectors:
Sm1 0.4902 0.4902 0.5294
Tm1 0.6699 0.6699 0.9903
H1 0.0717 0.0717 0.7848
H2 0.2682 0.2682 0.1955


No. 12
VASP calculation (PBE) on a relaxed Sm3TmH8 crystal.

Values from the calculation:
Electronic total energy in eV/cell: -53.7

a b c (Å): 5.2903 5.2903 5.2903
angles (deg): 90.00 90.00 90.00
Sites, in units of the cell vectors:
Sm1 0.5000 0.5000 0.0000
Sm2 0.5000 0.0000 0.5000
Sm3 0.0000 0.5000 0.5000
Tm1 0.0000 0.0000 0.0000
H1 0.2421 0.2421 0.7579
H2 0.2421 0.7579 0.2421
H3 0.7579 0.2421 0.2421
H4 0.7579 0.7579 0.7579
H5 0.7579 0.7579 0.2421
H6 0.7579 0.2421 0.7579
H7 0.2421 0.7579 0.7579
H8 0.2421 0.2421 0.2421


No. 13
VASP calculation (PBE) on a relaxed Sm2TmH crystal.

Values from the calculation:
Electronic total energy in eV/cell: -17.9

a b c (Å): 3.6421 3.6421 8.8503
angles (deg): 78.13 78.13 60.00
Sites, in units of the cell vectors:
H1 0.0000 0.0000 0.0000
Tm1 0.5000 0.5000 0.5000
Sm1 0.7221 0.7221 0.8337
Sm2 0.2779 0.2779 0.1663


No. 14
VASP calculation (PBE) on a relaxed Sm2UH crystal.

Values from the calculation:
Electronic total energy in eV/cell: -22.9

a b c (Å): 3.2377 3.2377 9.7830
angles (deg): 80.48 80.48 60.00
Sites, in units of the cell vectors:
H1 0.5000 0.5000 0.5000
U1 0.0000 0.0000 0.0000
Sm1 0.1125 0.1125 0.6626
Sm2 0.8875 0.8875 0.3374


No. 15
VASP calculation (PBE) on a relaxed SmVH3 crystal.

Values from the calculation:
Electronic total energy in eV/cell: -25.3

a b c (Å): 3.6792 3.6792 3.6792
angles (deg): 90.00 90.00 90.00
Sites, in units of the cell vectors:
H1 0.0000 0.5000 0.0000
H2 0.0000 0.0000 0.5000
H3 0.5000 0.0000 0.0000
Sm1 0.5000 0.5000 0.5000
V1 0.0000 0.0000 0.0000


No. 16
VASP calculation (PBE) on a relaxed SmVH crystal.

Values from the calculation:
Electronic total energy in eV/cell: -32.9

a b c (Å): 3.2290 3.2290 10.4225
angles (deg): 90.00 90.00 120.00
Sites, in units of the cell vectors:
H1 0.6667 0.3333 0.9490
H2 0.3333 0.6667 0.4496
Sm1 0.3333 0.6667 0.1095
Sm2 0.3333 0.6667 0.7884
V1 0.6667 0.3333 0.3547
V2 0.6667 0.3333 0.5432


No. 17
VASP calculation (PBE) on a relaxed SmVH2 crystal.

Values from the calculation:
Electronic total energy in eV/cell: -20.5

a b c (Å): 3.0456 3.0456 5.9221
angles (deg): 75.10 75.10 60.00
Sites, in units of the cell vectors:
H1 0.2160 0.2160 0.3519
H2 0.7840 0.7840 0.6481
Sm1 0.0000 0.0000 0.0000
V1 0.5000 0.5000 0.5000


No. 18
VASP calculation (PBE) on a relaxed SmV2H8 crystal.

Values from the calculation:
Electronic total energy in eV/cell: -52.4

a b c (Å): 4.7577 4.5157 4.5157
angles (deg): 119.40 89.37 89.37
Sites, in units of the cell vectors:
Sm1 0.0567 0.0268 0.0268
V1 0.5722 0.6637 0.3318
V2 0.5722 0.3318 0.6637
H1 0.3223 0.0030 0.5586
H2 0.3223 0.5586 0.0030
H3 0.6828 0.7284 0.7284
H4 0.9355 0.2948 0.6459
H5 0.9355 0.6459 0.2948
H6 0.3172 0.4645 0.4645
H7 0.6418 0.2504 0.9983
H8 0.6418 0.9983 0.2504


No. 19
VASP calculation (PBE) on a relaxed SmYH2 crystal.

Values from the calculation:
Electronic total energy in eV/cell: -19.1

a b c (Å): 3.5395 3.5395 6.3069
angles (deg): 73.70 73.70 60.00
Sites, in units of the cell vectors:
Sm1 0.4908 0.4908 0.5277
Y1 0.6701 0.6701 0.9896
H1 0.0741 0.0741 0.7776
H2 0.2650 0.2650 0.2051


No. 20
VASP calculation (PBE) on a relaxed SmYH crystal.

Values from the calculation:
Electronic total energy in eV/cell: -91.3

a b c (Å): 5.6623 6.3220 11.0761
angles (deg): 90.00 90.00 90.00
Sites, in units of the cell vectors:
Y1 0.7038 0.5768 0.5000
Y2 0.6864 0.0792 0.3347
Y3 0.6864 0.0792 0.6653
Y4 0.2038 0.4232 0.0000
Y5 0.1864 0.9208 0.1653
Y6 0.1864 0.9208 0.8347
H1 0.9477 0.2463 0.8337
H2 0.9477 0.2463 0.1663
H3 0.4359 0.7536 0.0000
H4 0.4477 0.7537 0.3337
H5 0.4477 0.7537 0.6663
H6 0.9359 0.2464 0.5000
Sm1 0.2012 0.4181 0.3320
Sm2 0.2012 0.4181 0.6680
Sm3 0.6896 0.0853 0.0000
Sm4 0.1896 0.9147 0.5000
Sm5 0.7012 0.5819 0.1680
Sm6 0.7012 0.5819 0.8320